# Er4ScGa2 | Alexandria | PBE | relaxed
# V: 27.91 Å³ per atom
# energy relative to the elements: -0.10 eV/atom
# Fermi-level density of states: 1.3359 states/eV per atom
# total moment: 0.00 μB/cell
data_Er4ScGa2
_chemical_formula_sum 'Er12 Sc3 Ga6'
_cell_length_a 4.9421
_cell_length_b 4.9421
_cell_length_c 27.7098
_cell_angle_alpha 90.00
_cell_angle_beta 90.00
_cell_angle_gamma 120.00
_space_group_name_H-M_alt 'R -3 m'
_space_group_IT_number 166
_space_group_name_Hall '-R 3 2"'
loop_
_atom_site_label
_atom_site_fract_x
_atom_site_fract_y
_atom_site_fract_z
_atom_site_occupancy
Er1 0.0000 0.0000 0.1145 1
Er2 0.0000 0.0000 0.2926 1
Sc1 0.0000 0.0000 0.5000 1
Ga1 0.0000 0.0000 0.4008 1

***

# ErSc2Ga6 | Alexandria | PBE | relaxed
# V: 20.13 Å³ per atom
# energy relative to the elements: -0.48 eV/atom
# Fermi-level density of states: 0.5237 states/eV per atom
# polymorph energy (0 for the lowest one): 86.2 meV per atom
# total moment: 0.00 μB/cell
data_ErSc2Ga6
_chemical_formula_sum 'Er2 Sc4 Ga12'
_cell_length_a 4.154
_cell_length_b 6.795
_cell_length_c 12.839
_cell_angle_alpha 90.00
_cell_angle_beta 90.00
_cell_angle_gamma 90.00
_space_group_name_H-M_alt 'I m m m'
_space_group_IT_number 71
_space_group_name_Hall '-I 2 2'
loop_
_atom_site_label
_atom_site_fract_x
_atom_site_fract_y
_atom_site_fract_z
_atom_site_occupancy
Er1 0.000 0.000 0.000 1
Sc1 0.000 0.500 0.121 1
Ga1 0.000 0.187 0.500 1
Ga2 0.000 0.304 0.310 1

***

# ErScGa3 | Alexandria | PBE | relaxed
# V: 20.29 Å³ per atom
# energy relative to the elements: -0.60 eV/atom
# Fermi-level density of states: 0.6897 states/eV per atom
# total moment: 0.00 μB/cell
data_ErScGa3
_chemical_formula_sum 'Er4 Sc4 Ga12'
_cell_length_a 3.885
_cell_length_b 25.250
_cell_length_c 4.137
_cell_angle_alpha 90.00
_cell_angle_beta 90.00
_cell_angle_gamma 90.00
_space_group_name_H-M_alt 'C m c m'
_space_group_IT_number 63
_space_group_name_Hall '-C 2c 2'
loop_
_atom_site_label
_atom_site_fract_x
_atom_site_fract_y
_atom_site_fract_z
_atom_site_occupancy
Er1 0.000 0.075 0.250 1
Sc1 0.000 0.207 0.750 1
Ga1 0.000 0.319 0.750 1
Ga2 0.000 0.377 0.250 1
Ga3 0.000 0.475 0.250 1

***

# Er2ScGa2 | Alexandria | PBE | relaxed
# V: 23.47 Å³ per atom
# energy relative to the elements: -0.52 eV/atom
# Fermi-level density of states: 0.7896 states/eV per atom
# polymorph energy (0 for the lowest one): 29.9 meV per atom
# total moment: 0.00 μB/cell
data_Er2ScGa2
_chemical_formula_sum 'Er4 Sc2 Ga4'
_cell_length_a 4.321
_cell_length_b 6.188
_cell_length_c 8.779
_cell_angle_alpha 90.00
_cell_angle_beta 90.00
_cell_angle_gamma 90.00
_space_group_name_H-M_alt 'I m m m'
_space_group_IT_number 71
_space_group_name_Hall '-I 2 2'
loop_
_atom_site_label
_atom_site_fract_x
_atom_site_fract_y
_atom_site_fract_z
_atom_site_occupancy
Er1 0.000 0.000 0.202 1
Sc1 0.000 0.500 0.000 1
Ga1 0.000 0.289 0.500 1

***

# Er5Sc2Ga4 | Alexandria | PBE | relaxed
# V: 28.13 Å³ per atom
# energy relative to the elements: -0.04 eV/atom
# Fermi-level density of states: 0.8979 states/eV per atom
# total moment: 0.00 μB/cell
data_Er5Sc2Ga4
_chemical_formula_sum 'Er10 Sc4 Ga8'
_cell_length_a 4.915
_cell_length_b 10.363
_cell_length_c 12.148
_cell_angle_alpha 90.00
_cell_angle_beta 90.00
_cell_angle_gamma 90.00
_space_group_name_H-M_alt 'I m m m'
_space_group_IT_number 71
_space_group_name_Hall '-I 2 2'
loop_
_atom_site_label
_atom_site_fract_x
_atom_site_fract_y
_atom_site_fract_z
_atom_site_occupancy
Er1 0.000 0.000 0.000 1
Er2 0.000 0.159 0.317 1
Sc1 0.000 0.500 0.318 1
Ga1 0.000 0.340 0.500 1
Ga2 0.000 0.500 0.102 1

***

# ErScGa6 | Alexandria | PBE | relaxed
# V: 18.29 Å³ per atom
# energy relative to the elements: -0.51 eV/atom
# Fermi-level density of states: 0.2500 states/eV per atom
# polymorph energy (0 for the lowest one): 0.0 meV per atom
# total moment: 0.00 μB/cell
data_ErScGa6
_chemical_formula_sum 'Er1 Sc1 Ga6'
_cell_length_a 4.184
_cell_length_b 4.184
_cell_length_c 8.359
_cell_angle_alpha 90.00
_cell_angle_beta 90.00
_cell_angle_gamma 90.00
_space_group_name_H-M_alt 'P 4/m m m'
_space_group_IT_number 123
_space_group_name_Hall '-P 4 2'
loop_
_atom_site_label
_atom_site_fract_x
_atom_site_fract_y
_atom_site_fract_z
_atom_site_occupancy
Er1 0.000 0.000 0.000 1
Sc1 0.000 0.000 0.500 1
Ga1 0.000 0.500 0.257 1
Ga2 0.500 0.500 0.000 1
Ga3 0.500 0.500 0.500 1

***

# ErScGa4 | Alexandria | PBE | relaxed
# V: 18.52 Å³ per atom
# energy relative to the elements: -0.51 eV/atom
# Fermi-level density of states: 0.5891 states/eV per atom
# polymorph energy (0 for the lowest one): 53.7 meV per atom
# total moment: 0.00 μB/cell
data_ErScGa4
_chemical_formula_sum 'Er4 Sc4 Ga16'
_cell_length_a 7.632
_cell_length_b 7.632
_cell_length_c 7.632
_cell_angle_alpha 90.00
_cell_angle_beta 90.00
_cell_angle_gamma 90.00
_space_group_name_H-M_alt 'F -4 3 m'
_space_group_IT_number 216
_space_group_name_Hall 'F -4 2 3'
loop_
_atom_site_label
_atom_site_fract_x
_atom_site_fract_y
_atom_site_fract_z
_atom_site_occupancy
Er1 0.000 0.000 0.000 1
Sc1 0.250 0.250 0.250 1
Ga1 0.125 0.125 0.625 1

***

# ErSc2Ga | Alexandria | PBE | relaxed
# V: 22.56 Å³ per atom
# energy relative to the elements: -0.28 eV/atom
# Fermi-level density of states: 1.2000 states/eV per atom
# polymorph energy (0 for the lowest one): 29.8 meV per atom
# total moment: 0.96 μB/cell
data_ErSc2Ga
_chemical_formula_sum 'Er1 Sc2 Ga1'
_cell_length_a 4.472
_cell_length_b 4.472
_cell_length_c 4.513
_cell_angle_alpha 90.00
_cell_angle_beta 90.00
_cell_angle_gamma 90.00
_space_group_name_H-M_alt 'P 4/m m m'
_space_group_IT_number 123
_space_group_name_Hall '-P 4 2'
loop_
_atom_site_label
_atom_site_fract_x
_atom_site_fract_y
_atom_site_fract_z
_atom_site_occupancy
Er1 0.000 0.000 0.000 1
Sc1 0.000 0.500 0.500 1
Ga1 0.500 0.500 0.000 1